No. 1
Crystalline MoSeCl2 at its relaxed geometry. Source: the Alexandria database, functional GGA-PBE.

Geometry as POSCAR:
```
MoSeCl2
1.0
-1.978 -5.498 4.049
-1.192 -6.830 -1.569
3.952 5.893 0.436
Cl Se Mo
2 1 1
Cartesian
-3.163 -12.305 2.475
0.271 -4.783 0.302
0.516 -1.637 2.612
-1.595 -6.204 1.248
```

Calculated values
For the total energy, the calculation gives -4.679 eV per atom. The value obtained for the density of states at the Fermi level is 2.54 states/eV/cell. The symmetry is Imm2, No. 44. For the formation energy from raw total energies, the calculation gives -68.3 kJ/mol of formula units. The calculation puts the spin magnetization at 0.931 Bohr magnetons per cell.

=====

No. 2
Crystalline RbAlTe2 at its relaxed geometry. Source: the Alexandria database, functional GGA-PBE.

Geometry as POSCAR:
```
RbAlTe2
1.0
7.414 0.000 0.000
0.000 11.767 0.000
0.000 0.000 7.310
Rb Te Al
4 8 4
Cartesian
3.835 10.328 4.049
7.286 4.444 0.394
3.579 1.439 0.394
0.128 7.323 4.049
0.154 10.865 4.635
0.861 3.765 4.188
7.260 0.902 0.980
2.846 9.648 0.533
4.568 2.119 4.188
3.553 4.981 0.980
6.553 8.002 0.533
3.861 6.786 4.635
0.329 10.287 7.229
7.085 1.480 3.574
4.036 7.364 7.229
3.378 4.403 3.574
```

Calculated values
For the total energy, the calculation gives -3.505 eV per atom. The value obtained for the density of states at the Fermi level is 0.00 states/eV/cell. The symmetry is Pna2_1, No. 33. For the formation energy from raw total energies, the calculation gives -292.2 kJ/mol of formula units. The calculation puts the spin magnetization at 0.000 Bohr magnetons per cell.

=====

No. 3
Crystalline Sr3Se at its relaxed geometry. Source: the Alexandria database, functional GGA-PBE.

Geometry as POSCAR:
```
Sr3Se
1.0
4.259 -10.441 0.000
4.259 10.441 0.000
0.000 0.000 4.061
Se Sr
2 6
Cartesian
4.259 2.572 3.045
4.259 -2.572 1.015
6.508 -1.906 3.045
6.508 1.906 1.015
4.259 5.175 1.015
4.259 -5.175 3.045
2.009 -1.906 3.045
2.009 1.906 1.015
```

Calculated values
For the total energy, the calculation gives -2.939 eV per atom. The value obtained for the density of states at the Fermi level is 6.00 states/eV/cell. The symmetry is Cmcm, No. 63. For the formation energy from raw total energies, the calculation gives -311.1 kJ/mol of formula units. The calculation puts the spin magnetization at 0.004 Bohr magnetons per cell.

=====

No. 4
Crystalline Nd4Ni2Pb at its relaxed geometry. Source: the Alexandria database, functional GGA-PBE.

Geometry as POSCAR:
```
Nd4Ni2Pb
1.0
0.356 1.519 -6.823
-4.672 -5.247 0.236
-3.626 7.055 4.148
Pb Nd Ni
2 8 4
Cartesian
-5.158 0.403 0.201
-7.936 1.977 4.001
-1.167 2.727 -1.714
-1.751 2.772 -5.290
-2.714 -0.603 -1.713
-4.661 2.237 -3.019
-3.196 -0.651 -5.303
-3.390 5.609 -1.842
-6.701 3.150 0.668
-3.320 4.630 1.533
-5.415 -0.526 -3.308
-1.093 0.317 -3.720
-3.779 2.755 -0.475
-5.868 3.709 3.218
```

Calculated values
For the total energy, the calculation gives -5.201 eV per atom. The value obtained for the density of states at the Fermi level is 10.87 states/eV/cell. The symmetry is Cc, No. 9. The value obtained for the formation energy is -0.29 eV per atom. The calculation puts the spin magnetization at 0.000 Bohr magnetons per cell.

=====

No. 5
Crystalline CaSbPtAu at its relaxed geometry. Source: the Alexandria database, functional GGA-PBE.

Geometry as POSCAR:
```
CaSbPtAu
1.0
4.919 0.000 0.000
2.460 4.260 0.000
2.460 1.420 4.016
Sb Pt Au Ca
1 1 1 1
Cartesian
0.000 0.000 0.000
7.379 4.260 3.012
2.460 1.420 1.004
4.919 2.840 2.008
```

Calculated values
For the total energy, the calculation gives -4.417 eV per atom. The value obtained for the density of states at the Fermi level is 2.02 states/eV/cell. The symmetry is F-43m, No. 216. For the formation energy from raw total energies, the calculation gives -214.7 kJ/mol of formula units. The calculation puts the spin magnetization at 0.000 Bohr magnetons per cell.

=====

No. 6
Crystalline Sc2HgO at its relaxed geometry. Source: the Alexandria database, functional GGA-PBE.

Geometry as POSCAR:
```
Sc2HgO
1.0
-1.789 -8.210 -0.150
1.161 -8.225 1.279
-1.526 -7.672 3.074
Hg Sc O
1 2 1
Cartesian
0.000 0.000 0.000
-1.899 -21.249 3.705
-0.255 -2.857 0.498
-1.077 -12.053 2.102
```

Calculated values
For the total energy, the calculation gives -5.772 eV per atom. The value obtained for the density of states at the Fermi level is 1.19 states/eV/cell. The symmetry is R-3m, No. 166. For the formation energy from raw total energies, the calculation gives -498.2 kJ/mol of formula units. The calculation puts the spin magnetization at 0.000 Bohr magnetons per cell.